[1]
First-principles (GGA-PBE) data for Ho2AlInO6 after structural relaxation, as listed in Alexandria.

## Properties
Crystal system = tetragonal
Formation energy without anion corrections = -2.74 eV per atom
Total energy = -7.27 eV/atom

Lattice parameters (Å, degrees): 4.976 5.207 5.207 90.00 90.00 90.00
Sites, in units of the cell vectors:
1 Ho 0.990 0.500 0.000
2 Ho 0.990 0.000 0.500
3 Al 0.594 0.000 0.000
4 In 0.561 0.500 0.500
5 O 0.732 0.237 0.237
6 O 0.732 0.237 0.763
7 O 0.150 0.500 0.500
8 O 0.233 0.000 0.000
9 O 0.732 0.763 0.763
10 O 0.732 0.763 0.237

[2]
First-principles (GGA-PBE) data for NiOsW3 after structural relaxation, as listed in Alexandria.

## Properties
Formation energy = 2.178 eV/atom
Relative energy among the computed polymorphs = 0.518 eV per atom
Crystal system = cubic
Total energy = -9.00 eV/atom

Lattice parameters (Å, degrees): 4.719 4.719 4.719 90.00 90.00 90.00
Sites, in units of the cell vectors:
1 Ni 0.500 0.500 0.500
2 Os 0.000 0.000 0.000
3 W 0.000 0.500 0.000
4 W 0.000 0.000 0.500
5 W 0.500 0.000 0.000

[3]
First-principles (GGA-PBE) data for Ac3InRh after structural relaxation, as listed in Alexandria.

## Properties
Formation energy = -0.478 eV/atom
Relative energy among the computed polymorphs = 0.000 eV per atom
Crystal system = monoclinic
Total energy = -4.96 eV/atom

Lattice parameters (Å, degrees): 6.003 7.184 9.944 66.96 72.43 65.30
Sites, in units of the cell vectors:
1 Ac 0.892 0.989 0.227
2 Ac 0.108 0.011 0.773
3 Ac 0.625 0.660 0.090
4 Ac 0.375 0.340 0.910
5 Ac 0.843 0.671 0.643
6 Ac 0.157 0.329 0.357
7 In 0.400 0.747 0.453
8 In 0.600 0.253 0.547
9 Rh 0.130 0.672 0.067
10 Rh 0.870 0.328 0.933

[4]
First-principles (GGA-PBE) data for SrTaRe2 after structural relaxation, as listed in Alexandria.

## Properties
Formation energy = 0.617 eV/atom
Relative energy among the computed polymorphs = 0.071 eV per atom
Crystal system = monoclinic
Total energy = -8.99 eV/atom

Lattice parameters (Å, degrees): 4.352 2.895 6.867 78.65 90.00 90.00
Sites, in units of the cell vectors:
1 Re 0.000 0.006 0.921
2 Re 0.000 0.494 0.579
3 Sr 0.500 0.250 0.250
4 Ta 0.500 0.750 0.750

[5]
First-principles (GGA-PBE) data for Zr2ScZn after structural relaxation, as listed in Alexandria.

## Properties
Formation energy = -0.158 eV/atom
Crystal system = tetragonal
Total energy = -6.33 eV/atom

Lattice parameters (Å, degrees): 3.218 3.218 8.172 90.00 90.00 90.00
Sites, in units of the cell vectors:
1 Sc 0.000 0.000 0.526
2 Zn 0.500 0.500 0.747
3 Zr 0.000 0.000 0.977
4 Zr 0.500 0.500 0.250

[6]
First-principles (GGA-PBE) data for Li7Cd3Hg after structural relaxation, as listed in Alexandria.

## Properties
Formation energy = -0.142 eV/atom
Relative energy among the computed polymorphs = 0.042 eV per atom
Crystal system = monoclinic
Total energy = -1.64 eV/atom

Lattice parameters (Å, degrees): 5.028 7.117 7.117 89.72 110.12 110.12
Sites, in units of the cell vectors:
1 Li 0.183 0.189 0.189
2 Li 0.332 0.069 0.594
3 Li 0.668 0.406 0.931
4 Li 0.332 0.594 0.069
5 Li 0.000 0.500 0.500
6 Li 0.668 0.931 0.406
7 Li 0.817 0.811 0.811
8 Cd 0.000 0.777 0.223
9 Cd 0.500 0.000 0.000
10 Cd 0.000 0.223 0.777
11 Hg 0.500 0.500 0.500